Entry from Alexandria via LeMat-Bulk: crystalline AlSbPtS2 at its relaxed geometry (PBEsol).

a = 4.886 Å, b = 4.886 Å, c = 5.081 Å
α = 90.00°, β = 90.00°, γ = 90.00°
Fractional coordinates of all 5 atoms:
Pt 0.500 0.500 0.500
Al 0.000 0.000 0.500
Sb 0.000 0.000 0.000
S 0.500 0.000 0.000
S 0.000 0.500 0.000

Computed properties:
Space-group type: P4/mmm
Total magnetization, μB per cell: 0.2
Calculated density, Mg/m³: 5.58
Energy relative to the elements, uncorrected, kJ/mol of formula units: 537